Below is crystalline Be2Os2O5 at its relaxed geometry, with properties calculated at the PBE-GGA level.

abc: 6.602 3.858 3.858
angles: 90.00 90.00 90.00
Fractional coordinates of all 9 atoms:
Be 0.500 0.000 0.000
O 0.804 0.000 0.500
O 0.804 0.500 0.000
O 0.196 0.500 0.000
Os 0.820 0.500 0.500
Os 0.180 0.500 0.500
O 0.500 0.500 0.500
O 0.196 0.000 0.500
Be 0.000 0.000 0.000

Properties
distance to the lowest polymorph of the same formula	0.5626	eV per atom
size of the total moment	0.04	μB/cell
SG	No. 123


Below is crystalline Be2Os2O5 at its relaxed geometry, with properties calculated at the PBE-GGA level.

abc: 6.981 3.365 3.365
angles: 90.00 90.00 90.00
Site moments in Bohr magnetons follow the coordinates.
Fractional coordinates of all 9 atoms:
O 0.179 0.500 0.000  0.04
O 0.500 0.500 0.500  0.07
Be 0.248 0.500 0.500  0.00
Be 0.752 0.500 0.500  0.00
O 0.821 0.000 0.500  0.04
Os 0.000 0.000 0.000  0.14
O 0.179 0.000 0.500  0.04
O 0.821 0.500 0.000  0.04
Os 0.500 0.000 0.000  2.69

Properties
distance to the lowest polymorph of the same formula	0.0000	eV per atom
size of the total moment	3.31	μB/cell
SG	No. 123


Below is crystalline PaBePO at its relaxed geometry, with properties calculated at the PBE-GGA level.

abc: 3.769 4.072 6.978
angles: 90.00 90.00 90.00
Fractional coordinates of all 8 atoms:
O 0.500 0.749 0.938
Be 0.000 0.252 0.439
Pa 0.500 0.750 0.604
O 0.500 0.251 0.438
P 0.000 0.251 0.772
Be 0.000 0.748 0.939
P 0.000 0.749 0.272
Pa 0.500 0.250 0.104

Properties
distance to the lowest polymorph of the same formula	0.0509	eV per atom
size of the total moment	0.02	μB/cell
SG	No. 26


Below is crystalline PaBePO at its relaxed geometry, with properties calculated at the PBE-GGA level.

abc: 3.932 3.932 9.106
angles: 90.00 90.00 90.00
Fractional coordinates of all 8 atoms:
Be 0.500 0.500 0.013
P 0.500 0.500 0.282
O 0.500 0.000 0.000
O 0.000 0.500 0.000
Pa 0.500 0.000 0.500
P 0.000 0.000 0.718
Pa 0.000 0.500 0.500
Be 0.000 0.000 0.987

Properties
distance to the lowest polymorph of the same formula	1.1018	eV per atom
size of the total moment	0.00	μB/cell
SG	No. 129